Record 1
Material: Co2ReNi
Method: DFT, PBE-GGA
State: relaxed

```
data_Co2ReNi
_space_group_name_H-M_alt 'P m m m'
_space_group_IT_number 47
_space_group_name_Hall '-P 2 2'
_cell_length_a 2.6200
_cell_length_b 4.3021
_cell_length_c 4.3252
_cell_angle_alpha 90.00
_cell_angle_beta 90.00
_cell_angle_gamma 90.00
loop_
_atom_site_label
_atom_site_fract_x
_atom_site_fract_y
_atom_site_fract_z
_atom_site_occupancy
Co1 0.0000 0.0000 0.0000 1
Co2 0.5000 0.5000 0.0000 1
Re1 0.0000 0.5000 0.5000 1
Ni1 0.5000 0.0000 0.5000 1
```

Results
Its density is 12.36 g/cm³. For the total energy, the calculation gives -7.8411 eV/atom. The volume comes out at 49 Å³ per cell. For the total magnetization, the calculation gives 2.937 μB per formula unit. As for the crystal system: orthorhombic. The calculation puts the excess energy over the best structure of this formula in the dataset at 257.7 meV/atom. The calculation puts the energy relative to the elements at 269 meV per atom.

***

Record 2
Material: Ce4PmNd3S8
Method: DFT, PBE-GGA
State: relaxed

```
data_Ce4PmNd3S8
_space_group_name_H-M_alt 'R -3 m'
_space_group_IT_number 166
_space_group_name_Hall '-R 3 2"'
_cell_length_a 8.0889
_cell_length_b 8.0889
_cell_length_c 19.8070
_cell_angle_alpha 90.00
_cell_angle_beta 90.00
_cell_angle_gamma 120.00
loop_
_atom_site_label
_atom_site_fract_x
_atom_site_fract_y
_atom_site_fract_z
_atom_site_occupancy
Ce1 0.0000 0.0000 0.0000 1
Ce2 0.0000 0.5000 0.0000 1
Pm1 0.0000 0.0000 0.5000 1
Nd1 0.0000 0.5000 0.5000 1
S1 0.0000 0.0000 0.2511 1
S2 0.0015 0.5007 0.2507 1
```

Results
Its density is 6.19 g/cm³. For the total energy, the calculation gives -6.7784 eV/atom. The volume comes out at 1122 Å³ per cell. For the total magnetization, the calculation gives 2.995 μB per formula unit. As for the uncorrected formation energy: -32.646 eV/f.u. As for the crystal system: trigonal.

***

Record 3
Material: HfRh2C
Method: DFT, PBE-GGA
State: relaxed

```
data_HfRh2C
_space_group_name_H-M_alt 'I -4 2 d'
_space_group_IT_number 122
_space_group_name_Hall 'I -4 2bw'
_cell_length_a 5.6109
_cell_length_b 5.6109
_cell_length_c 8.4919
_cell_angle_alpha 90.00
_cell_angle_beta 90.00
_cell_angle_gamma 90.00
loop_
_atom_site_label
_atom_site_fract_x
_atom_site_fract_y
_atom_site_fract_z
_atom_site_occupancy
Hf1 0.0000 0.0000 0.0000 1
Rh1 0.1456 0.2500 0.6250 1
C1 0.0000 0.0000 0.5000 1
```

Results
Its density is 9.85 g/cm³. For the total energy, the calculation gives -8.3997 eV/atom. The volume comes out at 267 Å³ per cell. For the total magnetization, the calculation gives 0.000 μB per formula unit. As for the crystal system: tetragonal. The calculation puts the energy relative to the elements at 70 meV per atom.